First-principles (PBE+U) data for an optimized crystal structure of CoAsN2O, as listed in the Alexandria database.

Unit cell a=3.7484 b=3.7484 c=3.7542 alpha=90.00 beta=90.00 gamma=90.00
Atoms (fractional coordinates):
O 0.0000 0.0000 0.5000
As 0.0000 0.0000 0.0000
Co 0.5000 0.5000 0.5000
N 0.5000 0.0000 0.0000
N 0.0000 0.5000 0.0000

Properties
DFT total energy: -0.393 Ry/atom
Total moment: 3.72 μB/f.u.
SG: P4/mmm, No. 123